No. 1
Below is a geometry-optimized Ba3Sc structure, with properties calculated at the GGA-PBE level.

Geometry as POSCAR:
```
Ba3Sc
1.0
7.368 0.000 0.000
0.000 10.334 0.000
0.000 0.000 11.199
Ba Sc
12 4
Direct
0.609 0.177 0.941
0.099 0.030 0.750
0.109 0.323 0.059
0.391 0.823 0.059
0.891 0.677 0.941
0.109 0.323 0.441
0.599 0.470 0.250
0.891 0.677 0.559
0.901 0.970 0.250
0.401 0.530 0.750
0.391 0.823 0.441
0.609 0.177 0.559
0.586 0.877 0.750
0.414 0.123 0.250
0.086 0.623 0.250
0.914 0.377 0.750
```

Computed properties:
Total DFT energy (no corrections) (eV/atom): -2.6835
Formation enthalpy at 0 K (eV/f.u.): 1.4
Density (g cm⁻³): 3.56
SG: Pnma

---

No. 2
Below is a geometry-optimized BaSc2 structure, with properties calculated at the GGA-PBE level.

Geometry as POSCAR:
```
BaSc2
1.0
-2.319 2.319 10.411
2.319 -2.319 10.411
2.319 2.319 -10.411
Sc Ba
4 2
Direct
0.328 0.828 0.500
0.578 0.578 0.000
0.422 0.422 0.000
0.172 0.672 0.500
0.750 0.250 0.500
0.000 0.000 0.000
```

Computed properties:
Total DFT energy (no corrections) (eV/atom): -4.1557
Formation enthalpy at 0 K (eV/f.u.): 2.1
Density (g cm⁻³): 3.37
SG: I4_1/amd

---

No. 3
Below is a geometry-optimized Ba3Sc structure, with properties calculated at the GGA-PBE level.

Geometry as POSCAR:
```
Ba3Sc
1.0
-2.858 1.340 7.652
-2.096 -6.912 -4.044
5.284 -3.071 2.511
Ba Sc
6 2
Direct
0.173 0.346 0.750
0.827 0.173 0.250
0.654 0.827 0.750
0.346 0.173 0.250
0.173 0.827 0.750
0.827 0.654 0.250
0.333 0.667 0.250
0.667 0.333 0.750
```

Computed properties:
Total DFT energy (no corrections) (eV/atom): -2.7314
Formation enthalpy at 0 K (eV/f.u.): 1.2
Density (g cm⁻³): 3.87
SG: P6_3/mmc

---

No. 4
Below is a geometry-optimized Ba3Sc structure, with properties calculated at the GGA-PBE level.

Geometry as POSCAR:
```
Ba3Sc
1.0
-1.316 -5.391 -5.468
6.066 -2.578 -4.154
-3.227 0.775 7.049
Ba Sc
3 1
Direct
0.721 0.721 0.000
0.000 0.500 0.500
0.279 0.279 0.000
0.500 0.000 0.500
```

Computed properties:
Total DFT energy (no corrections) (eV/atom): -2.7464
Formation enthalpy at 0 K (eV/f.u.): 1.1
Density (g cm⁻³): 3.84
SG: Immm

---

No. 5
Below is a geometry-optimized BaSc8 structure, with properties calculated at the GGA-PBE level.

Geometry as POSCAR:
```
BaSc8
1.0
-5.108 5.108 2.319
5.108 -5.108 2.319
5.108 5.108 -2.319
Sc Ba
8 1
Direct
0.321 0.321 0.642
0.658 0.000 0.658
0.679 0.321 0.000
0.342 0.000 0.342
0.000 0.658 0.658
0.000 0.342 0.342
0.321 0.679 0.000
0.679 0.679 0.358
0.000 0.000 0.000
```

Computed properties:
Total DFT energy (no corrections) (eV/atom): -5.6534
Formation enthalpy at 0 K (eV/f.u.): 1.7
Density (g cm⁻³): 3.41
SG: I4/mmm

---

No. 6
Below is a geometry-optimized Ba4Sc structure, with properties calculated at the GGA-PBE level.

Geometry as POSCAR:
```
Ba4Sc
1.0
6.012 -0.222 -3.795
3.481 2.655 5.606
-3.859 -5.925 0.774
Ba Sc
4 1
Direct
0.335 0.335 0.000
0.750 0.250 0.500
0.665 0.665 0.000
0.250 0.750 0.500
0.000 0.000 0.000
```

Computed properties:
Total DFT energy (no corrections) (eV/atom): -2.1820
Formation enthalpy at 0 K (eV/f.u.): 3.1
Density (g cm⁻³): 3.84
SG: I4/mmm

---

No. 7
Below is a geometry-optimized BaSc2 structure, with properties calculated at the GGA-PBE level.

Geometry as POSCAR:
```
BaSc2
1.0
-1.707 6.367 -2.966
-5.656 2.605 -3.670
2.512 -3.699 5.679
Sc Ba
2 1
Direct
0.692 0.692 0.000
0.308 0.308 0.000
0.000 0.000 0.000
```

Computed properties:
Total DFT energy (no corrections) (eV/atom): -4.5439
Formation enthalpy at 0 K (eV/f.u.): 1.0
Density (g cm⁻³): 3.73
SG: I4/mmm

---

No. 8
Below is a geometry-optimized BaSc2 structure, with properties calculated at the GGA-PBE level.

Geometry as POSCAR:
```
BaSc2
1.0
5.412 0.000 0.000
0.000 5.412 0.000
0.000 0.000 3.890
Sc Ba
2 1
Direct
0.000 0.500 0.500
0.500 0.000 0.500
0.000 0.000 0.000
```

Computed properties:
Total DFT energy (no corrections) (eV/atom): -3.7692
Formation enthalpy at 0 K (eV/f.u.): 3.3
Density (g cm⁻³): 3.31
SG: P4/mmm

---

Q: Among the records above, which one has the lowest total DFT energy (no corrections)?
A: BaSc8

---

Please write out number 3 again, unchanged.
Below is a geometry-optimized Ba3Sc structure, with properties calculated at the GGA-PBE level.

Geometry as POSCAR:
```
Ba3Sc
1.0
-2.858 1.340 7.652
-2.096 -6.912 -4.044
5.284 -3.071 2.511
Ba Sc
6 2
Direct
0.173 0.346 0.750
0.827 0.173 0.250
0.654 0.827 0.750
0.346 0.173 0.250
0.173 0.827 0.750
0.827 0.654 0.250
0.333 0.667 0.250
0.667 0.333 0.750
```

Computed properties:
Total DFT energy (no corrections) (eV/atom): -2.7314
Formation enthalpy at 0 K (eV/f.u.): 1.2
Density (g cm⁻³): 3.87
SG: P6_3/mmc

---

Q: Number 6 is which compound?
A: Ba4Sc

---

Repeat the sixth record exactly.
Below is a geometry-optimized Ba4Sc structure, with properties calculated at the GGA-PBE level.

Geometry as POSCAR:
```
Ba4Sc
1.0
6.012 -0.222 -3.795
3.481 2.655 5.606
-3.859 -5.925 0.774
Ba Sc
4 1
Direct
0.335 0.335 0.000
0.750 0.250 0.500
0.665 0.665 0.000
0.250 0.750 0.500
0.000 0.000 0.000
```

Computed properties:
Total DFT energy (no corrections) (eV/atom): -2.1820
Formation enthalpy at 0 K (eV/f.u.): 3.1
Density (g cm⁻³): 3.84
SG: I4/mmm